# 1
Entry from Alexandria via LeMat-Bulk: a geometry-optimized PmSmTlTe structure (GGA-PBE).

Unit cell a=4.2945 b=4.2945 c=23.8498 alpha=90.00 beta=90.00 gamma=120.00
Space group R3m (No. 160, hexagonal axes)
Inequivalent atoms, fractional coordinates:
Pm (0.0000, 0.0000, 0.0000) x3
Sm (0.0000, 0.0000, 0.5033) x3
Tl (0.0000, 0.0000, 0.7520) x3
Te (0.0000, 0.0000, 0.2511) x3

Summary:
ρ = 8.20 Mg/m³
final energy = -4.617 eV per atom
E_form (uncorrected) = -3.5 eV/f.u.

=====

# 2
Entry from Alexandria via LeMat-Bulk: a geometry-optimized TaZnPd2 structure (GGA-PBE).

Unit cell a=5.0265 b=2.8967 c=8.8633 alpha=90.00 beta=100.99 gamma=90.00
Space group Cm (No. 8)
Inequivalent atoms, fractional coordinates:
Ta (0.0000, 0.0000, 0.0000) x2
Zn (0.1666, 0.0000, 0.4998) x2
Pd (0.0799, 0.5000, 0.7398) x2
Pd (0.4198, 0.0000, 0.2597) x2

Summary:
ΔE_f = -1.2 eV/f.u.
ρ = 12.04 Mg/m³
final energy = -6.172 eV per atom

=====

Sequential total moment output: 0.00 0.00 μB/cell